(A)
# Sr2Mg2F

A geometry-optimized Sr2Mg2F structure (GGA-PBE, the Alexandria database).

a = 7.165 Å, b = 7.165 Å, c = 6.219 Å
α = 90.00°, β = 90.00°, γ = 90.00°
Positions (direct):
Sr  0.310  0.810  0.000
Sr  0.810  0.690  0.000
Sr  0.690  0.190  0.000
Sr  0.190  0.310  0.000
Mg  0.143  0.643  0.500
Mg  0.643  0.857  0.500
Mg  0.857  0.357  0.500
Mg  0.357  0.143  0.500
F  0.000  0.000  0.000
F  0.500  0.500  0.000

Summary:
volume	31.9	A^3/atom
space-group type	P4/mbm, No. 127

=====

(B)
# Sr2Mg2F

A geometry-optimized Sr2Mg2F structure (GGA-PBE, the Alexandria database).

a = 7.456 Å, b = 7.456 Å, c = 5.800 Å
α = 90.00°, β = 90.00°, γ = 90.00°
Positions (direct):
Sr  0.166  0.666  0.500
Sr  0.666  0.834  0.500
Sr  0.834  0.334  0.500
Sr  0.334  0.166  0.500
Mg  0.349  0.849  0.000
Mg  0.849  0.651  0.000
Mg  0.651  0.151  0.000
Mg  0.151  0.349  0.000
F  0.000  0.000  0.000
F  0.500  0.500  0.000

Summary:
volume	32.2	A^3/atom
space-group type	P4/mbm, No. 127

=====

Top of the stability list: (A), leading by 406 meV/atom.

=====

(A)
# MgTaF2

A geometry-optimized MgTaF2 structure (GGA-PBE, the Alexandria database).

a = 8.504 Å, b = 8.504 Å, c = 8.504 Å
α = 19.61°, β = 19.61°, γ = 19.61°
Positions (direct):
Mg  0.000  0.000  0.000
F  0.897  0.897  0.897
F  0.103  0.103  0.103
Ta  0.500  0.500  0.500

Summary:
volume	15.1	A^3/atom
space-group type	R-3m, No. 166

=====

(B)
# MgTaF2

A geometry-optimized MgTaF2 structure (GGA-PBE, the Alexandria database).

a = 5.061 Å, b = 5.061 Å, c = 5.892 Å
α = 64.57°, β = 64.57°, γ = 90.00°
Positions (direct):
Mg  0.500  0.500  0.000
Mg  0.250  0.750  0.500
F  0.544  0.125  0.250
F  0.206  0.625  0.250
F  0.375  0.456  0.750
F  0.875  0.794  0.750
Ta  0.000  0.000  0.000
Ta  0.750  0.250  0.500

Summary:
volume	15.0	A^3/atom
space-group type	I-42d, No. 122

=====

(C)
# MgTaF2

A geometry-optimized MgTaF2 structure (GGA-PBE, the Alexandria database).

a = 8.635 Å, b = 8.635 Å, c = 8.635 Å
α = 19.44°, β = 19.44°, γ = 19.44°
Positions (direct):
Mg  0.500  0.500  0.500
F  0.873  0.873  0.873
F  0.127  0.127  0.127
Ta  0.000  0.000  0.000

Summary:
volume	15.6	A^3/atom
space-group type	R-3m, No. 166

=====

(D)
# MgTaF2

A geometry-optimized MgTaF2 structure (GGA-PBE, the Alexandria database).

a = 4.301 Å, b = 4.301 Å, c = 4.301 Å
α = 60.00°, β = 60.00°, γ = 60.00°
Positions (direct):
Mg  0.000  0.000  0.000
F  0.250  0.250  0.250
F  0.750  0.750  0.750
Ta  0.500  0.500  0.500

Summary:
volume	14.1	A^3/atom
space-group type	Fm-3m, No. 225

=====

Top of the stability list: (C), leading by 495 meV/atom.

=====

(A)
# MgTcF2

A geometry-optimized MgTcF2 structure (GGA-PBE, the Alexandria database).

a = 4.296 Å, b = 4.296 Å, c = 4.296 Å
α = 60.00°, β = 60.00°, γ = 60.00°
Positions (direct):
Mg  0.000  0.000  0.000
Tc  0.500  0.500  0.500
F  0.250  0.250  0.250
F  0.750  0.750  0.750

Summary:
volume	14.0	A^3/atom
space-group type	Fm-3m, No. 225

=====

(B)
# MgTcF2

A geometry-optimized MgTcF2 structure (GGA-PBE, the Alexandria database).

a = 9.486 Å, b = 9.486 Å, c = 9.486 Å
α = 17.12°, β = 17.12°, γ = 17.12°
Positions (direct):
Mg  0.500  0.500  0.500
Tc  0.000  0.000  0.000
F  0.871  0.871  0.871
F  0.129  0.129  0.129

Summary:
volume	16.1	A^3/atom
space-group type	R-3m, No. 166

=====

Top of the stability list: (B), leading by 1127 meV/atom.

=====

(A)
# MgTeF2

A geometry-optimized MgTeF2 structure (GGA-PBE, the Alexandria database).

a = 9.946 Å, b = 9.946 Å, c = 9.946 Å
α = 18.16°, β = 18.16°, γ = 18.16°
Positions (direct):
Mg  0.500  0.500  0.500
Te  0.000  0.000  0.000
F  0.865  0.865  0.865
F  0.135  0.135  0.135

Summary:
volume	20.9	A^3/atom
space-group type	R-3m, No. 166

=====

(B)
# MgTeF2

A geometry-optimized MgTeF2 structure (GGA-PBE, the Alexandria database).

a = 9.233 Å, b = 9.233 Å, c = 9.233 Å
α = 20.77°, β = 20.77°, γ = 20.77°
Positions (direct):
Mg  0.000  0.000  0.000
Te  0.500  0.500  0.500
F  0.934  0.934  0.934
F  0.066  0.066  0.066

Summary:
volume	21.7	A^3/atom
space-group type	R-3m, No. 166

=====

Top of the stability list: (A), leading by 1078 meV/atom.

=====

(A)
# MgTeF2

A geometry-optimized MgTeF2 structure (GGA-PBE, the Alexandria database).

a = 6.085 Å, b = 6.085 Å, c = 6.093 Å
α = 60.05°, β = 60.05°, γ = 90.00°
Positions (direct):
Mg  0.500  0.500  0.000
Mg  0.250  0.750  0.500
Te  0.000  0.000  0.000
Te  0.750  0.250  0.500
F  0.375  0.125  0.250
F  0.375  0.625  0.250
F  0.375  0.625  0.750
F  0.875  0.625  0.750

Summary:
volume	20.0	A^3/atom
space-group type	I4_1/amd, No. 141

=====

(B)
# MgTeF2

A geometry-optimized MgTeF2 structure (GGA-PBE, the Alexandria database).

a = 4.583 Å, b = 4.583 Å, c = 4.583 Å
α = 60.00°, β = 60.00°, γ = 60.00°
Positions (direct):
Mg  0.000  0.000  0.000
Te  0.500  0.500  0.500
F  0.250  0.250  0.250
F  0.750  0.750  0.750

Summary:
volume	17.0	A^3/atom
space-group type	Fm-3m, No. 225

=====

Top of the stability list: (A), leading by 1106 meV/atom.

=====

(A)
# MgTeF6

A geometry-optimized MgTeF6 structure (GGA-PBE, the Alexandria database).

a = 5.221 Å, b = 5.222 Å, c = 5.222 Å
α = 119.83°, β = 96.37°, γ = 96.37°
Positions (direct):
Mg  0.000  0.000  0.000
Te  0.500  0.500  0.500
F  0.753  0.615  0.901
F  0.753  0.901  0.615
F  0.247  0.099  0.385
F  0.247  0.385  0.099
F  0.758  0.249  0.249
F  0.242  0.751  0.751

Summary:
volume	15.1	A^3/atom
space-group type	C2/m, No. 12

=====

(B)
# MgTeF6

A geometry-optimized MgTeF6 structure (GGA-PBE, the Alexandria database).

a = 5.442 Å, b = 5.442 Å, c = 5.720 Å
α = 61.57°, β = 61.56°, γ = 59.96°
Positions (direct):
Mg  0.000  0.000  0.000
Te  0.500  0.500  0.500
F  0.141  0.349  0.755
F  0.756  0.141  0.755
F  0.651  0.244  0.245
F  0.244  0.859  0.245
F  0.859  0.651  0.245
F  0.349  0.756  0.755

Summary:
volume	15.3	A^3/atom
space-group type	R-3, No. 148

=====

Top of the stability list: (B), leading by 65 meV/atom.